VASP calculation (PBE) on an optimized crystal structure of Pm8Ir2Ru.

Calculated values
Symmetry: C2/m, No. 12
DFT total energy (eV/cell): -68.7
Energy of formation (eV/atom): -0.337
Energy relative to the lowest polymorph listed for this composition (meV/atom): 0
Total magnetization (Bohr magnetons per cell): 0.0

Cell lengths 9.2592, 9.2592, 7.0231 Å; angles 104.60, 104.60, 31.02 degrees
Element x y z (fractional)
Pm 0.0296 0.0296 0.2903
Pm 0.2041 0.2041 0.8161
Pm 0.3331 0.3331 0.5334
Pm 0.4058 0.4058 0.0441
Pm 0.5942 0.5942 0.9559
Pm 0.6669 0.6669 0.4666
Pm 0.7959 0.7959 0.1839
Pm 0.9704 0.9704 0.7097
Ir 0.1891 0.1891 0.2093
Ir 0.8109 0.8109 0.7907
Ru 0.5000 0.5000 0.5000



VASP calculation (PBE) on an optimized crystal structure of Ta2BeCo.

Calculated values
Symmetry: I-4m2, No. 119
DFT total energy (eV/cell): -68.9
Energy of formation (eV/atom): 0.027
Total magnetization (Bohr magnetons per cell): 0.0

Cell lengths 3.5736, 3.5736, 8.8088 Å; angles 90.00, 90.00, 90.00 degrees
Element x y z (fractional)
Ta 0.0000 0.0000 0.0000
Ta 0.0000 0.5000 0.2500
Ta 0.5000 0.0000 0.7500
Ta 0.5000 0.5000 0.5000
Be 0.0000 0.5000 0.7500
Be 0.5000 0.0000 0.2500
Co 0.0000 0.0000 0.5000
Co 0.5000 0.5000 0.0000



VASP calculation (PBE) on an optimized crystal structure of Mn2ZnBr.

Calculated values
Symmetry: I4/mmm, No. 139
DFT total energy (eV/cell): -38.3
Energy relative to the lowest polymorph listed for this composition (meV/atom): 335
Energy relative to the elements, uncorrected (eV per atom): 0.532
Total magnetization (Bohr magnetons per cell): 14.0

Cell lengths 4.1875, 4.1875, 7.5361 Å; angles 90.00, 90.00, 90.00 degrees
Element x y z (fractional)
Mn 0.0000 0.5000 0.2500
Mn 0.0000 0.5000 0.7500
Mn 0.5000 0.0000 0.2500
Mn 0.5000 0.0000 0.7500
Zn 0.0000 0.0000 0.0000
Zn 0.5000 0.5000 0.5000
Br 0.0000 0.0000 0.5000
Br 0.5000 0.5000 0.0000



VASP calculation (PBE) on an optimized crystal structure of CsCu3Os.

Calculated values
Symmetry: Pm-3m, No. 221
DFT total energy (eV/cell): -10.3
Energy of formation (eV/atom): 2.813
Energy relative to the lowest polymorph listed for this composition (meV/atom): 1771
Total magnetization (Bohr magnetons per cell): 1.6

Cell lengths 4.9556, 4.9556, 4.9556 Å; angles 90.00, 90.00, 90.00 degrees
Element x y z (fractional)
Cs 0.0000 0.0000 0.0000
Cu 0.0000 0.0000 0.5000
Cu 0.0000 0.5000 0.0000
Cu 0.5000 0.0000 0.0000
Os 0.5000 0.5000 0.5000